Record 1
A geometry-optimized Tm3Co6Sn5 structure. Source: Alexandria via LeMat-Bulk, functional PBE.

Unit cell a=8.043 b=8.043 c=8.043 alpha=148.88 beta=107.34 gamma=81.13
Fractional coordinates of all 14 atoms:
Tm: 0.000 0.000 0.000
Tm: 0.318 0.318 0.000
Tm: 0.682 0.682 0.000
Co: 0.164 0.892 0.272
Co: 0.309 0.500 0.809
Co: 0.380 0.108 0.272
Co: 0.620 0.892 0.728
Co: 0.691 0.500 0.191
Co: 0.836 0.108 0.728
Sn: 0.018 0.676 0.342
Sn: 0.335 0.676 0.658
Sn: 0.500 0.000 0.500
Sn: 0.665 0.324 0.342
Sn: 0.982 0.324 0.658

Properties
The formation energy is -0.3320 eV per atom. As for the space group: No. 71.

Record 2
A geometry-optimized ScMnTl structure. Source: Alexandria via LeMat-Bulk, functional PBE.

Unit cell a=3.233 b=3.233 c=7.007 alpha=90.00 beta=90.00 gamma=120.00
Fractional coordinates of all 3 atoms:
Sc: 0.000 0.000 0.000
Mn: 0.333 0.667 0.698
Tl: 0.667 0.333 0.369

Properties
The formation energy is 0.2099 eV per atom. As for the space group: No. 156.

Record 3
A geometry-optimized Sr2EuBr structure. Source: Alexandria via LeMat-Bulk, functional PBE.

Unit cell a=3.928 b=3.928 c=10.765 alpha=90.00 beta=90.00 gamma=90.00
Fractional coordinates of all 4 atoms:
Sr: 0.000 0.000 0.216
Sr: 0.000 0.000 0.784
Eu: 0.500 0.500 0.500
Br: 0.500 0.500 0.000

Properties
As for the uncorrected formation energy: -2.5 eV/f.u. As for the space group: No. 123. Its energy above the most stable polymorph in this dataset is 0.085 eV/atom.

Record 4
A geometry-optimized Al2RuCl structure. Source: Alexandria via LeMat-Bulk, functional PBE.

Unit cell a=5.695 b=5.695 c=5.695 alpha=106.46 beta=106.46 gamma=115.68
Fractional coordinates of all 8 atoms:
Al: 0.112 0.625 0.987
Al: 0.375 0.362 0.487
Al: 0.638 0.125 0.013
Al: 0.875 0.888 0.513
Ru: 0.000 0.000 0.000
Ru: 0.750 0.250 0.500
Cl: 0.250 0.750 0.500
Cl: 0.500 0.500 0.000

Properties
As for the uncorrected formation energy: 0.7 eV/f.u. As for the space group: No. 122. Its energy above the most stable polymorph in this dataset is 0.796 eV/atom.

Record 5
A geometry-optimized KZn2Ni structure. Source: Alexandria via LeMat-Bulk, functional PBE.

Unit cell a=9.820 b=9.820 c=9.820 alpha=17.51 beta=17.51 gamma=17.51
Fractional coordinates of all 4 atoms:
K: 0.000 0.000 0.000
Zn: 0.231 0.231 0.231
Zn: 0.485 0.485 0.485
Ni: 0.758 0.758 0.758

Properties
The formation energy is 0.4689 eV per atom. As for the space group: No. 160. Its energy above the most stable polymorph in this dataset is 0.469 eV/atom.

Record 6
A geometry-optimized LaTeBr3 structure. Source: Alexandria via LeMat-Bulk, functional PBE.

Unit cell a=5.888 b=5.888 c=5.888 alpha=90.00 beta=90.00 gamma=90.00
Fractional coordinates of all 5 atoms:
La: 0.000 0.000 0.000
Te: 0.500 0.500 0.500
Br: 0.000 0.000 0.500
Br: 0.000 0.500 0.000
Br: 0.500 0.000 0.000

Properties
As for the uncorrected formation energy: -5.4 eV/f.u. As for the space group: No. 221.

Computed values of E (unit: eV/f.u.) for the preceding records, in sequence: -80.71 -17.24 -17.86 -17.90 -7.55 -18.46.